No. 1
4
Lattice="-3.104 0.320 0.050 -0.322 -3.101 -0.148 0.088 -0.387 7.894" Properties=species:S:1:pos:R:3 comment="Hf2MnSn (PBE, relaxed)" magmom_total_mub_per_fu=0.0 spacegroup="No. 123" n_ef_per_ev_cell=2.92 e_form_kj_per_mol_fu=-72 pbc="T T T"
Mn -1.713 -1.391 -0.049
Hf 0.071 -0.311 6.342
Hf 0.017 -0.076 1.553
Sn -1.669 -1.584 3.898

No. 2
5
Lattice="-3.596 1.920 3.199 2.181 -2.522 3.966 3.026 4.099 0.942" Properties=species:S:1:pos:R:3 comment="HfMn3Sn (PBE, relaxed)" magmom_total_mub_per_fu=9.8 spacegroup="No. 221" n_ef_per_ev_cell=3.45 e_form_kj_per_mol_fu=648 pbc="T T T"
Mn 1.091 -1.261 1.983
Mn 1.513 2.049 0.471
Mn -1.798 0.960 1.599
Hf 0.000 0.000 0.000
Sn 0.806 1.748 4.053

No. 3
12
Lattice="5.621 0.000 0.272 0.000 6.455 0.000 0.168 0.000 7.636" Properties=species:S:1:pos:R:3 comment="Hf4MnSn (PBE, relaxed)" magmom_total_mub_per_fu=0.0 spacegroup="No. 14" n_ef_per_ev_cell=10.69 e_form_kj_per_mol_fu=78 pbc="T T T"
Hf 4.801 4.270 2.152
Hf 3.798 1.042 5.891
Hf 2.355 2.265 2.926
Hf 0.623 5.493 4.845
Hf 0.988 2.185 5.755
Hf 1.991 5.413 2.016
Hf 3.434 4.190 4.981
Hf 5.166 0.962 3.063
Mn 2.895 0.000 3.954
Mn 0.084 3.228 3.818
Sn 0.000 0.000 0.000
Sn 2.811 3.228 0.136

No. 4
5
Lattice="-2.076 4.261 -1.029 -4.372 -1.929 0.831 0.320 1.283 4.667" Properties=species:S:1:pos:R:3 comment="Hf3MnSn (PBE, relaxed)" magmom_total_mub_per_fu=0.1 spacegroup="No. 221" n_ef_per_ev_cell=10.44 e_form_kj_per_mol_fu=96 pbc="T T T"
Mn 0.000 0.000 0.000
Hf -2.186 -0.965 0.415
Hf 0.160 0.642 2.333
Hf -1.038 2.131 -0.515
Sn -3.064 1.808 2.234

No. 5
18
Lattice="-0.685 -5.556 1.908 5.016 0.446 3.101 -6.991 4.522 10.656" Properties=species:S:1:pos:R:3 comment="Hf6MnSn2 (PBE, relaxed)" magmom_total_mub_per_fu=0.0 spacegroup="No. 136" n_ef_per_ev_cell=18.73 e_form_kj_per_mol_fu=370 pbc="T T T"
Hf -1.273 0.101 5.571
Hf 0.349 -1.812 7.447
Hf -2.174 3.283 12.210
Hf -5.741 -0.471 11.464
Hf 3.080 -0.115 4.201
Hf -0.486 -3.870 3.455
Hf -3.009 1.225 8.218
Hf -1.388 -0.688 10.094
Hf 1.331 -1.570 1.539
Hf 3.000 -3.539 3.470
Hf 0.422 1.551 8.199
Hf -3.082 -2.138 7.466
Mn 0.000 0.000 0.000
Mn -1.330 -0.293 7.832
Sn -2.146 1.388 3.271
Sn -3.476 1.095 11.104
Sn 0.816 -1.682 4.561
Sn -4.845 3.134 7.384

No. 6
5
Lattice="-4.732 -0.346 -1.907 -0.697 -4.390 2.527 -1.808 2.598 4.016" Properties=species:S:1:pos:R:3 comment="SrHf3Mn (PBE, relaxed)" magmom_total_mub_per_fu=3.5 spacegroup="No. 221" n_ef_per_ev_cell=9.05 e_form_kj_per_mol_fu=1085 pbc="T T T"
Sr 0.000 0.000 0.000
Mn -3.618 -1.069 2.318
Hf -0.348 -2.195 1.263
Hf -0.904 1.299 2.008
Hf -2.366 -0.173 -0.953

No. 7
4
Lattice="0.000 3.477 3.477 3.477 0.000 3.477 3.477 3.477 0.000" Properties=species:S:1:pos:R:3 comment="SrHf2Mn (PBE, relaxed)" magmom_total_mub_per_fu=0.0 spacegroup="No. 225" n_ef_per_ev_cell=4.02 e_form_kj_per_mol_fu=324 pbc="T T T"
Sr 3.477 3.477 3.477
Mn 0.000 0.000 0.000
Hf 1.739 1.739 1.739
Hf 5.216 5.216 5.216

No. 8
5
Lattice="-3.493 4.340 0.441 -2.800 -2.663 4.038 3.346 2.302 3.839" Properties=species:S:1:pos:R:3 comment="Sr3HfMn (PBE, relaxed)" magmom_total_mub_per_fu=0.0 spacegroup="No. 221" n_ef_per_ev_cell=10.67 e_form_kj_per_mol_fu=614 pbc="T T T"
Sr -1.400 -1.332 2.019
Sr 1.673 1.151 1.919
Sr -1.746 2.170 0.221
Mn 0.000 0.000 0.000
Hf -1.473 1.990 4.159

No. 9
5
Lattice="-1.109 1.274 4.691 -4.861 -0.260 -1.078 -0.031 -4.813 1.300" Properties=species:S:1:pos:R:3 comment="SrHf3Mn (PBE, relaxed)" magmom_total_mub_per_fu=0.0 spacegroup="No. 221" n_ef_per_ev_cell=7.16 e_form_kj_per_mol_fu=191 pbc="T T T"
Sr -3.000 -1.900 2.456
Mn 0.000 0.000 0.000
Hf -2.430 -0.130 -0.539
Hf -0.015 -2.407 0.650
Hf -0.554 0.637 2.345

No. 10
5
Lattice="-2.667 -5.499 0.173 4.672 -2.366 -3.154 2.904 -1.244 5.234" Properties=species:S:1:pos:R:3 comment="Sr3HfMn (PBE, relaxed)" magmom_total_mub_per_fu=5.7 spacegroup="No. 221" n_ef_per_ev_cell=10.90 e_form_kj_per_mol_fu=634 pbc="T T T"
Sr 2.336 -1.183 -1.577
Sr 1.452 -0.622 2.617
Sr -1.334 -2.749 0.086
Mn 2.455 -4.554 1.126
Hf 0.000 0.000 0.000

No. 11
8
Lattice="7.249 0.000 0.000 0.000 7.249 0.000 3.625 3.625 5.121" Properties=species:S:1:pos:R:3 comment="SrHf2Mn (PBE, relaxed)" magmom_total_mub_per_fu=0.0 spacegroup="No. 141" n_ef_per_ev_cell=10.32 e_form_kj_per_mol_fu=391 pbc="T T T"
Sr 0.000 0.000 0.000
Sr 7.249 3.625 2.561
Mn 3.625 3.625 0.000
Mn 3.625 7.249 2.561
Hf 3.625 1.812 1.280
Hf 3.625 5.437 1.280
Hf 5.437 7.249 3.841
Hf 9.062 7.249 3.841

No. 12
10
Lattice="-7.237 -1.576 2.866 -1.331 -4.937 -6.077 1.187 -2.391 1.682" Properties=species:S:1:pos:R:3 comment="SrHf2Mn2 (PBE, relaxed)" magmom_total_mub_per_fu=0.0 spacegroup="No. 127" n_ef_per_ev_cell=20.24 e_form_kj_per_mol_fu=213 pbc="T T T"
Sr 0.000 0.000 0.000
Sr -4.284 -3.257 -1.606
Mn -3.784 -4.839 -4.207
Mn -7.100 -4.502 -1.389
Mn -4.784 -1.674 0.996
Mn -1.469 -2.011 -1.822
Hf -1.248 -4.558 -2.638
Hf -5.167 -6.459 -2.576
Hf -6.134 -4.346 1.109
Hf -2.215 -2.445 1.047

No. 13
5
Lattice="-3.428 -2.915 -0.883 -0.474 -0.944 4.954 -3.016 3.436 0.366" Properties=species:S:1:pos:R:3 comment="SrHfMnV2 (PBE, relaxed)" magmom_total_mub_per_fu=3.0 spacegroup="No. 123" n_ef_per_ev_cell=8.65 e_form_kj_per_mol_fu=568 pbc="T T T"
Sr -0.237 -0.472 2.477
Mn 0.000 0.000 0.000
Hf -3.459 -0.212 2.218
V -1.508 1.718 0.183
V -1.714 -1.458 -0.442

No. 14
5
Lattice="4.955 0.000 0.000 0.000 5.294 0.000 0.000 0.000 4.955" Properties=species:S:1:pos:R:3 comment="SrYHfMn2 (PBE, relaxed)" magmom_total_mub_per_fu=0.5 spacegroup="No. 123" n_ef_per_ev_cell=11.15 e_form_kj_per_mol_fu=829 pbc="T T T"
Y 0.000 0.000 0.000
Sr 2.478 2.647 2.478
Mn 0.000 0.000 2.478
Mn 2.478 0.000 0.000
Hf 0.000 2.647 0.000

No. 15
5
Lattice="6.135 0.000 0.000 0.000 4.744 0.000 0.000 0.000 6.135" Properties=species:S:1:pos:R:3 comment="Sr2YHfMn (PBE, relaxed)" magmom_total_mub_per_fu=4.0 spacegroup="No. 123" n_ef_per_ev_cell=7.82 e_form_kj_per_mol_fu=696 pbc="T T T"
Y 0.000 0.000 0.000
Sr 0.000 0.000 3.067
Sr 3.067 0.000 0.000
Mn 0.000 2.372 0.000
Hf 3.067 2.372 3.067

No. 16
5
Lattice="-1.392 2.452 1.329 0.026 -1.474 2.747 7.425 4.087 3.894" Properties=species:S:1:pos:R:3 comment="Hf2TaMn2 (PBE, relaxed)" magmom_total_mub_per_fu=0.0 spacegroup="No. 139" n_ef_per_ev_cell=6.02 e_form_kj_per_mol_fu=145 pbc="T T T"
Mn 2.675 3.514 3.630
Mn 3.383 1.551 4.339
Hf 1.221 1.334 2.474
Hf 4.837 3.730 5.496
Ta 0.000 0.000 0.000

No. 17
4
Lattice="3.159 0.000 0.000 0.000 3.159 0.000 0.000 0.000 7.215" Properties=species:S:1:pos:R:3 comment="Hf2TaMn (PBE, relaxed)" magmom_total_mub_per_fu=0.0 spacegroup="No. 123" n_ef_per_ev_cell=4.94 e_form_kj_per_mol_fu=3 pbc="T T T"
Mn 1.580 1.580 0.000
Hf 0.000 0.000 5.669
Hf 0.000 0.000 1.546
Ta 1.580 1.580 3.608

No. 18
10
Lattice="6.370 0.000 0.000 0.000 6.370 0.000 0.000 0.000 4.767" Properties=species:S:1:pos:R:3 comment="Hf2Ta2Mn (PBE, relaxed)" magmom_total_mub_per_fu=0.0 spacegroup="No. 127" n_ef_per_ev_cell=8.85 e_form_kj_per_mol_fu=97 pbc="T T T"
Mn 0.000 0.000 0.000
Mn 3.185 3.185 0.000
Hf 1.029 4.214 2.384
Hf 4.214 5.341 2.384
Hf 5.341 2.156 2.384
Hf 2.156 1.029 2.384
Ta 2.194 5.379 0.000
Ta 5.379 4.176 0.000
Ta 4.176 0.991 0.000
Ta 0.991 2.194 0.000

No. 19
8
Lattice="-4.044 -4.056 -3.687 4.244 -5.217 1.083 -1.310 -5.309 0.984" Properties=species:S:1:pos:R:3 comment="HfTaMn2 (PBE, relaxed)" magmom_total_mub_per_fu=0.0 spacegroup="No. 122" n_ef_per_ev_cell=10.99 e_form_kj_per_mol_fu=222 pbc="T T T"
Mn -2.377 -4.566 -1.971
Mn 1.872 -5.042 0.510
Mn -0.963 -7.391 -0.252
Mn -0.753 -12.162 -1.527
Hf 0.100 -4.636 -1.302
Hf 1.517 -7.581 0.383
Ta 0.000 0.000 0.000
Ta -2.627 -7.000 -2.003

No. 20
8
Lattice="-1.047 -5.816 -4.434 5.169 2.580 -4.605 4.013 -3.035 -3.122" Properties=species:S:1:pos:R:3 comment="Hf2TaMn (PBE, relaxed)" magmom_total_mub_per_fu=0.0 spacegroup="No. 122" n_ef_per_ev_cell=6.39 e_form_kj_per_mol_fu=206 pbc="T T T"
Mn 2.061 -1.618 -4.519
Mn 5.622 -1.036 -6.123
Hf 1.045 -3.795 -3.917
Hf 4.053 -0.149 -4.423
Hf 4.801 -3.367 -5.950
Hf 6.371 -5.230 -10.032
Ta 0.000 0.000 0.000
Ta 2.514 -5.234 -6.038